No. 1
Compound: Ho5Pd2Pt
Source: Alexandria
Functional: PBE-GGA
Structure: relaxed

```
Ho5Pd2Pt
1.0
-3.6448 3.6448 7.2610
3.6448 -3.6448 7.2610
3.6448 3.6448 -7.2610
Ho Pd Pt
10 4 2
direct
0.0000 0.0000 0.0000
0.0206 0.5206 0.8387
0.1819 0.0206 0.5000
0.3181 0.8181 0.8387
0.4794 0.3181 0.5000
0.5000 0.5000 0.0000
0.5206 0.6819 0.5000
0.6819 0.1819 0.1613
0.8181 0.9794 0.5000
0.9794 0.4794 0.1613
0.1339 0.3661 0.5000
0.3661 0.8661 0.2321
0.6339 0.1339 0.7679
0.8661 0.6339 0.5000
0.2500 0.2500 0.0000
0.7500 0.7500 0.0000
```

- symmetry = I4/mcm
- ΔH_f (0 K) (eV per atom) = -0.79
- calculated total energy (eV for the cell shown) = -91.22



No. 2
Compound: HoPdPt
Source: Alexandria
Functional: PBE-GGA
Structure: relaxed

```
HoPdPt
1.0
4.4688 0.0000 0.0000
-2.2344 3.8701 0.0000
0.0000 0.0000 3.5403
Ho Pd Pt
1 1 1
direct
0.0000 0.0000 0.0000
0.3333 0.6667 0.5000
0.6667 0.3333 0.5000
```

- symmetry = P-6m2
- ΔH_f (0 K) (eV per atom) = -0.86
- calculated total energy (eV for the cell shown) = -18.38
- energy above the lowest structure with this stoichiometry (meV per atom) = 182



No. 3
Compound: Ho3Pd5Pt
Source: Alexandria
Functional: PBE-GGA
Structure: relaxed

```
Ho3Pd5Pt
1.0
6.6402 -4.5827 0.0000
6.6402 4.5827 0.0000
0.0000 0.0000 5.6698
Ho Pd Pt
6 10 2
direct
0.1481 0.5251 0.2500
0.1942 0.8058 0.7500
0.4749 0.8519 0.2500
0.5251 0.1481 0.7500
0.8058 0.1942 0.2500
0.8519 0.4749 0.7500
0.1087 0.8913 0.2500
0.1666 0.1666 0.0000
0.1666 0.1666 0.5000
0.2179 0.4457 0.7500
0.4457 0.2179 0.2500
0.5543 0.7821 0.7500
0.7821 0.5543 0.2500
0.8334 0.8334 0.0000
0.8334 0.8334 0.5000
0.8913 0.1087 0.7500
0.5000 0.5000 0.0000
0.5000 0.5000 0.5000
```

- symmetry = Cmcm
- ΔH_f (0 K) (eV per atom) = -0.95
- calculated total energy (eV for the cell shown) = -108.62



No. 4
Compound: HoPd5Pt2
Source: Alexandria
Functional: PBE-GGA
Structure: relaxed

```
HoPd5Pt2
1.0
5.6870 0.0000 0.0000
0.0000 11.4035 0.0000
0.0000 0.0000 4.0551
Ho Pd Pt
2 10 4
direct
0.0000 0.0000 0.0000
0.5000 0.5000 0.0000
0.0000 0.5000 0.0000
0.0134 0.2505 0.0000
0.2471 0.8732 0.5000
0.2529 0.3732 0.5000
0.4866 0.7505 0.0000
0.5000 0.0000 0.0000
0.5134 0.2495 0.0000
0.7471 0.6268 0.5000
0.7529 0.1268 0.5000
0.9866 0.7495 0.0000
0.2374 0.6281 0.5000
0.2626 0.1281 0.5000
0.7374 0.8719 0.5000
0.7626 0.3719 0.5000
```

- symmetry = Pbam
- ΔH_f (0 K) (eV per atom) = -0.46
- calculated total energy (eV for the cell shown) = -92.66
- energy above the lowest structure with this stoichiometry (meV per atom) = 0



No. 5
Compound: Ho2PdPt5
Source: Alexandria
Functional: PBE-GGA
Structure: relaxed

```
Ho2PdPt5
1.0
5.8078 0.0000 0.0000
0.0000 11.6229 0.0000
0.0000 0.0000 4.1118
Ho Pd Pt
4 2 10
direct
0.2460 0.1244 0.0000
0.2540 0.6244 0.0000
0.7460 0.3756 0.0000
0.7540 0.8756 0.0000
0.0000 0.0000 0.5000
0.5000 0.5000 0.5000
0.0000 0.5000 0.5000
0.0062 0.7500 0.5000
0.2443 0.3740 0.0000
0.2557 0.8740 0.0000
0.4938 0.2500 0.5000
0.5000 0.0000 0.5000
0.5062 0.7500 0.5000
0.7443 0.1260 0.0000
0.7557 0.6260 0.0000
0.9938 0.2500 0.5000
```

- symmetry = Pbam
- ΔH_f (0 K) (eV per atom) = -1.03
- calculated total energy (eV for the cell shown) = -105.61



No. 6
Compound: Ho8PdPt5
Source: Alexandria
Functional: PBE-GGA
Structure: relaxed

```
Ho8PdPt5
1.0
-4.3490 4.3490 4.3442
4.3490 -4.3490 4.3442
4.3490 4.3490 -4.3442
Ho Pd Pt
8 1 5
direct
0.0022 0.8789 0.2515
0.1211 0.3727 0.1233
0.1248 0.3761 0.6220
0.2494 0.9978 0.8767
0.4972 0.8752 0.2513
0.6239 0.2458 0.7487
0.6273 0.7506 0.7485
0.7542 0.5028 0.3780
0.5000 0.5000 0.0000
0.2500 0.7500 0.5000
0.3779 0.2535 0.3771
0.7465 0.1236 0.1244
0.8764 0.0008 0.6229
0.9992 0.6221 0.8756
```

- symmetry = I-4
- ΔH_f (0 K) (eV per atom) = -1.07
- calculated total energy (eV for the cell shown) = -87.01



- What is the calculated total energy in the second record?
  -18.38 eV for the cell shown



- Which value of ΔH_f (0 K) does entry 6 give?
  -1.07 eV per atom



- Which of these has the highest calculated total energy?
  HoPdPt



Please write out number 5 again, unchanged.
Compound: Ho2PdPt5
Source: Alexandria
Functional: PBE-GGA
Structure: relaxed

```
Ho2PdPt5
1.0
5.8078 0.0000 0.0000
0.0000 11.6229 0.0000
0.0000 0.0000 4.1118
Ho Pd Pt
4 2 10
direct
0.2460 0.1244 0.0000
0.2540 0.6244 0.0000
0.7460 0.3756 0.0000
0.7540 0.8756 0.0000
0.0000 0.0000 0.5000
0.5000 0.5000 0.5000
0.0000 0.5000 0.5000
0.0062 0.7500 0.5000
0.2443 0.3740 0.0000
0.2557 0.8740 0.0000
0.4938 0.2500 0.5000
0.5000 0.0000 0.5000
0.5062 0.7500 0.5000
0.7443 0.1260 0.0000
0.7557 0.6260 0.0000
0.9938 0.2500 0.5000
```

- symmetry = Pbam
- ΔH_f (0 K) (eV per atom) = -1.03
- calculated total energy (eV for the cell shown) = -105.61